Here is a relaxed structure of PmAlHg from the Alexandria database. Energies are from PBE.

a b c (Å): 8.666 8.666 8.666
angles (deg): 22.05 22.05 22.05
Sites, in units of the cell vectors:
Al (0.151, 0.151, 0.151)
Hg (0.045, 0.045, 0.045)
Pm (0.917, 0.917, 0.917)

Output
**Energy above the lowest structure with this stoichiometry**: 168 kJ/mol of formula units
**DOS at the Fermi energy**: 2.0 states/eV per cell
**Total magnetization**: 0.0 μB per cell
**Space group**: R3m
**Calculated formation energy**: 0.11 eV/atom

---

Here is a relaxed structure of Pm3Al2Hg2 from the Alexandria database. Energies are from PBE.

a b c (Å): 4.434 3.618 11.346
angles (deg): 90.00 78.73 90.00
Sites, in units of the cell vectors:
Pm (0.161, 0.000, 0.677)
Pm (0.000, 0.000, 0.000)
Pm (0.839, 0.000, 0.323)
Hg (0.582, 0.500, 0.837)
Hg (0.418, 0.500, 0.163)
Al (0.281, 0.500, 0.438)
Al (0.719, 0.500, 0.562)

Output
**DOS at the Fermi energy**: 7.3 states/eV per cell
**Total magnetization**: 0.4 μB per cell
**Space group**: Cmmm
**Calculated formation energy**: -0.43 eV/atom

---

Here is a relaxed structure of PmAlHg from the Alexandria database. Energies are from PBE.

a b c (Å): 4.681 6.088 5.966
angles (deg): 77.28 66.90 67.39
Sites, in units of the cell vectors:
Pm (0.536, 0.209, 0.719)
Pm (0.464, 0.791, 0.281)
Hg (0.825, 0.229, 0.121)
Hg (0.175, 0.771, 0.879)
Al (0.156, 0.385, 0.302)
Al (0.844, 0.615, 0.698)

Output
**Energy above the lowest structure with this stoichiometry**: 2 kJ/mol of formula units
**DOS at the Fermi energy**: 4.0 states/eV per cell
**Total magnetization**: 0.0 μB per cell
**Space group**: C2/m
**Calculated formation energy**: -0.47 eV/atom

---

Here is a relaxed structure of Pm4Al3Hg from the Alexandria database. Energies are from PBE.

a b c (Å): 3.680 3.680 15.313
angles (deg): 90.00 90.00 90.00
Sites, in units of the cell vectors:
Al (0.500, 0.500, 0.500)
Al (0.500, 0.500, 0.745)
Al (0.500, 0.500, 0.255)
Pm (0.000, 0.000, 0.866)
Pm (0.000, 0.000, 0.134)
Pm (0.000, 0.000, 0.379)
Pm (0.000, 0.000, 0.621)
Hg (0.500, 0.500, 0.000)

Output
**Energy above the lowest structure with this stoichiometry**: 0 kJ/mol of formula units
**DOS at the Fermi energy**: 4.4 states/eV per cell
**Total magnetization**: 0.0 μB per cell
**Space group**: P4/mmm
**Calculated formation energy**: -0.39 eV/atom

---

Here is a relaxed structure of PmAl2Hg2 from the Alexandria database. Energies are from PBE.

a b c (Å): 4.446 4.446 11.229
angles (deg): 90.00 90.00 90.00
Sites, in units of the cell vectors:
Hg (0.500, 0.000, 0.863)
Hg (0.000, 0.000, 0.500)
Hg (0.000, 0.500, 0.137)
Hg (0.500, 0.500, 0.500)
Al (0.000, 0.000, 0.000)
Al (0.500, 0.000, 0.637)
Al (0.000, 0.500, 0.363)
Al (0.500, 0.500, 0.000)
Pm (0.500, 0.000, 0.251)
Pm (0.000, 0.500, 0.749)

Output
**DOS at the Fermi energy**: 1.8 states/eV per cell
**Total magnetization**: 0.0 μB per cell
**Space group**: P4/nmm
**Calculated formation energy**: -0.32 eV/atom

---

Here is a relaxed structure of PmAl3Hg3 from the Alexandria database. Energies are from PBE.

a b c (Å): 7.258 7.258 7.258
angles (deg): 90.00 90.00 90.00
Sites, in units of the cell vectors:
Al (0.250, 0.500, 0.000)
Al (0.500, 0.000, 0.750)
Al (0.000, 0.250, 0.500)
Al (0.500, 0.000, 0.250)
Al (0.750, 0.500, 0.000)
Al (0.000, 0.750, 0.500)
Pm (0.500, 0.500, 0.500)
Pm (0.000, 0.000, 0.000)
Hg (0.500, 0.250, 0.000)
Hg (0.000, 0.500, 0.750)
Hg (0.750, 0.000, 0.500)
Hg (0.500, 0.750, 0.000)
Hg (0.000, 0.500, 0.250)
Hg (0.250, 0.000, 0.500)

Output
**DOS at the Fermi energy**: 8.9 states/eV per cell
**Total magnetization**: 0.0 μB per cell
**Space group**: Pm-3n
**Calculated formation energy**: 0.26 eV/atom

---

Here is a relaxed structure of Pm2AlHg2 from the Alexandria database. Energies are from PBE.

a b c (Å): 4.573 6.122 10.295
angles (deg): 87.75 77.17 68.07
Sites, in units of the cell vectors:
Pm (0.329, 0.679, 0.663)
Pm (0.671, 0.321, 0.337)
Pm (0.919, 0.268, 0.895)
Pm (0.081, 0.732, 0.105)
Al (0.619, 0.098, 0.664)
Al (0.381, 0.902, 0.336)
Hg (0.351, 0.180, 0.119)
Hg (0.909, 0.742, 0.440)
Hg (0.649, 0.820, 0.881)
Hg (0.091, 0.258, 0.560)

Output
**DOS at the Fermi energy**: 8.5 states/eV per cell
**Total magnetization**: 0.0 μB per cell
**Space group**: C2/m
**Calculated formation energy**: -0.43 eV/atom

---

Here is a relaxed structure of Pm9Al2Hg from the Alexandria database. Energies are from PBE.

a b c (Å): 4.881 4.881 14.632
angles (deg): 90.00 90.00 90.00
Sites, in units of the cell vectors:
Pm (0.000, 0.500, 0.171)
Pm (0.500, 0.500, 0.000)
Pm (0.000, 0.500, 0.829)
Pm (0.500, 0.000, 0.829)
Pm (0.000, 0.500, 0.500)
Pm (0.500, 0.500, 0.334)
Pm (0.500, 0.500, 0.666)
Pm (0.500, 0.000, 0.171)
Pm (0.500, 0.000, 0.500)
Al (0.000, 0.000, 0.334)
Al (0.000, 0.000, 0.666)
Hg (0.000, 0.000, 0.000)

Output
**DOS at the Fermi energy**: 19.0 states/eV per cell
**Total magnetization**: 0.0 μB per cell
**Space group**: P4/mmm
**Calculated formation energy**: -0.17 eV/atom

---

Here is a relaxed structure of Pm3Al2Hg from the Alexandria database. Energies are from PBE.

a b c (Å): 3.619 3.619 11.959
angles (deg): 90.00 90.00 90.00
Sites, in units of the cell vectors:
Hg (0.500, 0.500, 0.500)
Al (0.500, 0.500, 0.835)
Al (0.500, 0.500, 0.165)
Pm (0.000, 0.000, 0.676)
Pm (0.000, 0.000, 0.324)
Pm (0.000, 0.000, 0.000)

Output
**DOS at the Fermi energy**: 2.2 states/eV per cell
**Total magnetization**: 0.0 μB per cell
**Space group**: P4/mmm
**Calculated formation energy**: -0.41 eV/atom

---

Here is a relaxed structure of Pm3Al2Hg6 from the Alexandria database. Energies are from PBE.

a b c (Å): 4.306 4.306 15.766
angles (deg): 97.85 97.85 90.00
Sites, in units of the cell vectors:
Hg (0.274, 0.274, 0.548)
Hg (0.577, 0.077, 0.154)
Hg (0.423, 0.923, 0.846)
Hg (0.726, 0.726, 0.452)
Hg (0.923, 0.423, 0.846)
Hg (0.077, 0.577, 0.154)
Al (0.363, 0.363, 0.726)
Al (0.637, 0.637, 0.274)
Pm (0.829, 0.829, 0.657)
Pm (0.000, 0.000, 0.000)
Pm (0.171, 0.171, 0.343)

Output
**DOS at the Fermi energy**: 10.1 states/eV per cell
**Total magnetization**: 0.0 μB per cell
**Space group**: I4/mmm
**Calculated formation energy**: -0.23 eV/atom

---

Here is a relaxed structure of Pm4AlHg from the Alexandria database. Energies are from PBE.

a b c (Å): 5.135 5.136 7.479
angles (deg): 90.00 90.00 90.00
Sites, in units of the cell vectors:
Pm (0.501, 0.997, 0.243)
Pm (0.001, 0.497, 0.753)
Pm (0.001, 0.497, 0.243)
Pm (0.501, 0.997, 0.753)
Hg (0.001, 0.997, 0.498)
Al (0.501, 0.497, 0.998)

Output
**Energy above the lowest structure with this stoichiometry**: 0 kJ/mol of formula units
**DOS at the Fermi energy**: 9.0 states/eV per cell
**Total magnetization**: 0.0 μB per cell
**Space group**: P4/mmm
**Calculated formation energy**: -0.07 eV/atom

---

Here is a relaxed structure of Pm3Al2Hg3 from the Alexandria database. Energies are from PBE.

a b c (Å): 4.612 6.092 15.519
angles (deg): 90.00 90.00 112.24
Sites, in units of the cell vectors:
Al (0.791, 0.583, 0.896)
Al (0.791, 0.583, 0.604)
Al (0.209, 0.417, 0.104)
Al (0.209, 0.417, 0.396)
Pm (0.917, 0.834, 0.392)
Pm (0.917, 0.834, 0.108)
Pm (0.634, 0.268, 0.250)
Pm (0.366, 0.732, 0.750)
Pm (0.083, 0.166, 0.608)
Pm (0.083, 0.166, 0.892)
Hg (0.377, 0.753, 0.537)
Hg (0.649, 0.298, 0.750)
Hg (0.623, 0.247, 0.463)
Hg (0.623, 0.247, 0.037)
Hg (0.377, 0.753, 0.963)
Hg (0.351, 0.702, 0.250)

Output
**DOS at the Fermi energy**: 10.4 states/eV per cell
**Total magnetization**: 0.0 μB per cell
**Space group**: Cmcm
**Calculated formation energy**: -0.44 eV/atom

---

Here is a relaxed structure of Pm8AlHg2 from the Alexandria database. Energies are from PBE.

a b c (Å): 5.309 7.171 9.708
angles (deg): 107.66 105.87 90.00
Sites, in units of the cell vectors:
Hg (0.178, 0.721, 0.355)
Hg (0.822, 0.279, 0.645)
Pm (0.804, 0.687, 0.608)
Pm (0.019, 0.772, 0.037)
Pm (0.590, 0.462, 0.180)
Pm (0.666, 0.978, 0.331)
Pm (0.410, 0.538, 0.820)
Pm (0.981, 0.228, 0.963)
Pm (0.334, 0.022, 0.669)
Pm (0.196, 0.313, 0.392)
Al (0.500, 0.000, 0.000)

Output
**Energy above the lowest structure with this stoichiometry**: 12 kJ/mol of formula units
**DOS at the Fermi energy**: 11.0 states/eV per cell
**Total magnetization**: 0.0 μB per cell
**Space group**: C2/m
**Calculated formation energy**: -0.21 eV/atom

---

Here is a relaxed structure of Pm5Al4Hg from the Alexandria database. Energies are from PBE.

a b c (Å): 3.693 3.693 18.934
angles (deg): 90.00 90.00 90.00
Sites, in units of the cell vectors:
Pm (0.500, 0.500, 0.500)
Pm (0.500, 0.500, 0.305)
Pm (0.500, 0.500, 0.108)
Pm (0.500, 0.500, 0.695)
Pm (0.500, 0.500, 0.892)
Al (0.000, 0.000, 0.403)
Al (0.000, 0.000, 0.795)
Al (0.000, 0.000, 0.205)
Al (0.000, 0.000, 0.597)
Hg (0.000, 0.000, 0.000)

Output
**DOS at the Fermi energy**: 5.0 states/eV per cell
**Total magnetization**: 0.0 μB per cell
**Space group**: P4/mmm
**Calculated formation energy**: -0.39 eV/atom

---

Here is a relaxed structure of Pm3AlHg3 from the Alexandria database. Energies are from PBE.

a b c (Å): 4.423 6.153 15.036
angles (deg): 84.95 81.54 68.94
Sites, in units of the cell vectors:
Pm (0.398, 0.285, 0.919)
Pm (0.602, 0.715, 0.081)
Pm (0.256, 0.256, 0.232)
Pm (0.524, 0.338, 0.614)
Pm (0.476, 0.662, 0.386)
Pm (0.744, 0.744, 0.768)
Hg (0.856, 0.750, 0.539)
Hg (0.144, 0.250, 0.461)
Hg (0.977, 0.809, 0.236)
Hg (0.876, 0.171, 0.076)
Hg (0.023, 0.191, 0.764)
Hg (0.124, 0.829, 0.924)
Al (0.765, 0.085, 0.385)
Al (0.235, 0.915, 0.615)

Output
**DOS at the Fermi energy**: 14.0 states/eV per cell
**Total magnetization**: 0.0 μB per cell
**Space group**: C2/m
**Calculated formation energy**: -0.42 eV/atom

---

Here is a relaxed structure of PmAlHg2 from the Alexandria database. Energies are from PBE.

a b c (Å): 6.058 7.371 8.442
angles (deg): 90.00 90.00 90.00
Sites, in units of the cell vectors:
Pm (0.873, 0.750, 0.463)
Pm (0.373, 0.250, 0.037)
Pm (0.627, 0.750, 0.963)
Pm (0.127, 0.250, 0.537)
Hg (0.374, 0.544, 0.310)
Hg (0.874, 0.044, 0.190)
Hg (0.874, 0.456, 0.190)
Hg (0.126, 0.956, 0.810)
Hg (0.126, 0.544, 0.810)
Hg (0.626, 0.456, 0.690)
Hg (0.374, 0.956, 0.310)
Hg (0.626, 0.044, 0.690)
Al (0.870, 0.250, 0.907)
Al (0.630, 0.250, 0.407)
Al (0.130, 0.750, 0.093)
Al (0.370, 0.750, 0.593)

Output
**DOS at the Fermi energy**: 7.9 states/eV per cell
**Total magnetization**: 0.0 μB per cell
**Space group**: Pnma
**Calculated formation energy**: -0.33 eV/atom

---

Here is a relaxed structure of Pm8AlHg2 from the Alexandria database. Energies are from PBE.

a b c (Å): 5.428 8.705 8.711
angles (deg): 119.49 108.15 90.00
Sites, in units of the cell vectors:
Hg (0.226, 0.616, 0.452)
Hg (0.774, 0.384, 0.548)
Pm (0.133, 0.184, 0.266)
Pm (0.678, 0.954, 0.357)
Pm (0.070, 0.720, 0.140)
Pm (0.930, 0.280, 0.860)
Pm (0.867, 0.816, 0.734)
Pm (0.322, 0.046, 0.643)
Pm (0.592, 0.443, 0.184)
Pm (0.408, 0.557, 0.816)
Al (0.500, 0.000, 0.000)

Output
**Energy above the lowest structure with this stoichiometry**: 0 kJ/mol of formula units
**DOS at the Fermi energy**: 10.5 states/eV per cell
**Total magnetization**: 0.0 μB per cell
**Space group**: C2/m
**Calculated formation energy**: -0.22 eV/atom

---

Here is a relaxed structure of PmAlHg2 from the Alexandria database. Energies are from PBE.

a b c (Å): 4.586 4.586 5.967
angles (deg): 67.40 67.40 60.00
Sites, in units of the cell vectors:
Hg (0.227, 0.227, 0.320)
Hg (0.773, 0.773, 0.680)
Pm (0.000, 0.000, 0.000)
Al (0.500, 0.500, 0.500)

Output
**DOS at the Fermi energy**: 1.6 states/eV per cell
**Total magnetization**: 0.0 μB per cell
**Space group**: R-3m
**Calculated formation energy**: -0.32 eV/atom

---

Here is a relaxed structure of PmAlHg from the Alexandria database. Energies are from PBE.

a b c (Å): 3.717 4.722 4.722
angles (deg): 120.00 90.00 90.00
Sites, in units of the cell vectors:
Pm (0.667, 0.333, 0.667)
Al (0.167, 0.667, 0.333)
Hg (0.166, 0.000, 0.000)

Output
**Energy above the lowest structure with this stoichiometry**: 0 kJ/mol of formula units
**DOS at the Fermi energy**: 1.5 states/eV per cell
**Total magnetization**: 0.0 μB per cell
**Space group**: P-6m2
**Calculated formation energy**: -0.47 eV/atom

---

Here is a relaxed structure of Pm2Al2Hg from the Alexandria database. Energies are from PBE.

a b c (Å): 4.654 6.030 10.001
angles (deg): 87.71 76.54 67.30
Sites, in units of the cell vectors:
Al (0.633, 0.849, 0.886)
Al (0.926, 0.710, 0.439)
Al (0.367, 0.151, 0.114)
Al (0.074, 0.290, 0.561)
Pm (0.315, 0.696, 0.673)
Pm (0.913, 0.268, 0.907)
Pm (0.685, 0.304, 0.327)
Pm (0.087, 0.732, 0.093)
Hg (0.617, 0.110, 0.656)
Hg (0.383, 0.890, 0.344)

Output
**DOS at the Fermi energy**: 7.1 states/eV per cell
**Total magnetization**: 0.6 μB per cell
**Space group**: C2/m
**Calculated formation energy**: -0.44 eV/atom